VASP calculation (PBE) on a geometry-optimized MnBeSCl2 structure.

Computed properties:
Its spin magnetization is 0.12 μB/f.u. The space-group type is P4/mmm. For the energy relative to the elements, uncorrected, the calculation gives 0.382 eV/atom. The density of states at the Fermi level comes out at 1.315 states/eV/atom. The calculation puts the total energy at -18.81 eV per cell.

Cell: 4.7106 4.7106 4.2996 Å, 90.00 90.00 90.00°
Closest atoms and distances in Å follow each position.
Positions (direct):
Cl 0.0000 0.5000 0.0000  2 Mn 2.36
S 0.0000 0.0000 0.5000  2 Mn 2.15
Be 0.5000 0.5000 0.5000  8 Cl 3.19, 4 S 3.33
Cl 0.5000 0.0000 0.0000  2 Mn 2.36
Mn 0.0000 0.0000 0.0000  2 S 2.15, 4 Cl 2.36



VASP calculation (PBE) on a geometry-optimized MnBeSCl2 structure.

Computed properties:
Its spin magnetization is 5.00 μB/f.u. The space-group type is P4/mmm. For the energy relative to the elements, uncorrected, the calculation gives -0.294 eV/atom. The density of states at the Fermi level comes out at 0.049 states/eV/atom. The calculation puts the total energy at -22.19 eV per cell.

Cell: 4.2054 4.2054 5.1572 Å, 90.00 90.00 90.00°
Closest atoms and distances in Å follow each position.
Positions (direct):
Cl 0.0000 0.5000 0.0000  2 Be 2.10
Mn 0.5000 0.5000 0.5000  4 S 2.97, 8 Cl 3.33
Be 0.0000 0.0000 0.0000  4 Cl 2.10
S 0.0000 0.0000 0.5000  2 Be 2.58
Cl 0.5000 0.0000 0.0000  2 Be 2.10



VASP calculation (PBE) on a geometry-optimized MnBeS2Cl structure.

Computed properties:
Its spin magnetization is 0.00 μB/f.u. The space-group type is P4/mmm. For the energy relative to the elements, uncorrected, the calculation gives 0.506 eV/atom. The density of states at the Fermi level comes out at 1.265 states/eV/atom. The calculation puts the total energy at -20.47 eV per cell.

Cell: 4.3476 4.3476 4.8364 Å, 90.00 90.00 90.00°
Closest atoms and distances in Å follow each position.
Positions (direct):
Cl 0.0000 0.0000 0.5000  2 Mn 2.42
S 0.5000 0.0000 0.0000  2 Mn 2.17
Mn 0.0000 0.0000 0.0000  4 S 2.17, 2 Cl 2.42
Be 0.5000 0.5000 0.5000  4 Cl 3.07, 8 S 3.25
S 0.0000 0.5000 0.0000  2 Mn 2.17



VASP calculation (PBE) on a geometry-optimized MnBeS2Cl structure.

Computed properties:
Its spin magnetization is 4.72 μB/f.u. The space-group type is P4/mmm. For the energy relative to the elements, uncorrected, the calculation gives 0.023 eV/atom. The density of states at the Fermi level comes out at 0.358 states/eV/atom. The calculation puts the total energy at -22.88 eV per cell.

Cell: 4.2753 4.2753 4.7728 Å, 90.00 90.00 90.00°
Closest atoms and distances in Å follow each position.
Positions (direct):
S 0.5000 0.0000 0.0000  2 Be 2.14
S 0.0000 0.5000 0.0000  2 Be 2.14
Mn 0.5000 0.5000 0.5000  4 Cl 3.02, 8 S 3.20
Cl 0.0000 0.0000 0.5000  2 Be 2.39
Be 0.0000 0.0000 0.0000  4 S 2.14, 2 Cl 2.39